Below is a relaxed Tb2TlN crystal, with properties calculated at the GGA-PBE level.

The structure in CIF format:
```
data_Tb2TlN
_chemical_formula_sum 'Tb2 Tl1 N1'
_symmetry_space_group_name_H-M 'P 4/m m m'
_symmetry_Int_Tables_number 123
_symmetry_space_group_name_Hall '-P 4 2'
_cell_length_a 3.146
_cell_length_b 3.146
_cell_length_c 7.994
_cell_angle_alpha 90.00
_cell_angle_beta 90.00
_cell_angle_gamma 90.00
loop_
_atom_site_label
_atom_site_type_symbol
_atom_site_fract_x
_atom_site_fract_y
_atom_site_fract_z
Tb1 Tb 0.000 0.000 0.180
Tl1 Tl 0.500 0.500 0.500
N1 N 0.500 0.500 0.000
```

Properties
The electronic total energy is -0.399 Ry per atom. The calculation puts the energy relative to the elements, uncorrected at -0.44 eV/atom.